(1)
## BaMgV3 (PBE)

Data for crystalline BaMgV3 at its relaxed geometry.

extended XYZ file:
```
5
Lattice="5.2391 0.0000 0.0000 0.0000 5.2391 0.0000 0.0000 0.0000 5.2391" Properties=species:S:1:pos:R:3 pbc="T T T"
Ba 0.0000 0.0000 0.0000
Mg 2.6195 2.6195 2.6195
V 0.0000 2.6195 2.6195
V 2.6195 0.0000 2.6195
V 2.6195 2.6195 0.0000
```

Output
Calculated total energy, Ry/atom: -0.349
Relative energy among the computed polymorphs, meV per atom: 0.0
Total magnetization, μB/cell: 12.0

---

(2)
## Ca2ReW (PBE)

Data for crystalline Ca2ReW at its relaxed geometry.

extended XYZ file:
```
4
Lattice="1.4830 0.8562 10.4923 -1.4830 0.8562 10.4923 0.0000 -1.7124 10.4923" Properties=species:S:1:pos:R:3 pbc="T T T"
Ca 0.0000 0.0000 7.8220
Ca 0.0000 0.0000 23.6549
Re 0.0000 0.0000 15.7384
W 0.0000 0.0000 0.0000
```

Output
Calculated total energy, Ry/atom: -0.465
Relative energy among the computed polymorphs, meV per atom: 647.6
Total magnetization, μB/cell: 0.0

---

(3)
## MgCd4In7 (PBE)

Data for crystalline MgCd4In7 at its relaxed geometry.

extended XYZ file:
```
12
Lattice="3.4073 0.0000 0.0000 -1.7037 2.9508 0.0000 0.0000 0.0000 30.2003" Properties=species:S:1:pos:R:3 pbc="T T T"
Mg 0.0000 0.0000 0.0000
Cd 0.0000 1.9672 4.9552
Cd 0.0000 1.9672 12.5528
Cd 1.7037 0.9836 17.6475
Cd 1.7037 0.9836 25.2451
In 0.0000 0.0000 7.4455
In 0.0000 0.0000 15.1001
In 0.0000 0.0000 22.7548
In 0.0000 1.9672 20.1440
In 0.0000 1.9672 27.7568
In 1.7037 0.9836 2.4434
In 1.7037 0.9836 10.0562
```

Output
Calculated total energy, Ry/atom: -0.148
Total magnetization, μB/cell: 0.0

---

(4)
## BaCeRhO4 (PBE)

Data for crystalline BaCeRhO4 at its relaxed geometry.

extended XYZ file:
```
14
Lattice="-3.1448 3.4717 5.8583 3.1448 -3.4717 5.8583 3.1448 3.4717 -5.8583" Properties=species:S:1:pos:R:3 pbc="T T T"
Ba 0.0000 1.7358 2.0548
Ba 3.1448 1.7358 3.8035
Ce 3.1448 0.0000 0.0000
Ce 0.0000 0.0000 5.8583
Rh 1.5724 1.7358 -2.9292
Rh 1.5724 -1.7358 2.9292
O 3.1448 -0.4760 2.3724
O 3.1448 2.9957 -2.3724
O 1.8203 1.7358 0.4071
O 4.4693 1.7358 0.4071
O -1.3245 1.7358 5.4512
O 1.3245 1.7358 5.4512
O 0.0000 0.4760 8.2307
O 0.0000 3.9476 3.4859
```

Output
Calculated total energy, Ry/atom: -0.529
Total magnetization, μB/cell: 2.0
Raw formation energy, eV/atom: -2.1851

---

(5)
## LiMgMoN2 (PBE)

Data for crystalline LiMgMoN2 at its relaxed geometry.

extended XYZ file:
```
5
Lattice="3.9105 0.0000 0.0000 0.0000 3.9105 0.0000 0.0000 0.0000 3.4936" Properties=species:S:1:pos:R:3 pbc="T T T"
Li 0.0000 0.0000 0.0000
Mg 0.0000 0.0000 1.7468
Mo 1.9553 1.9553 0.0000
N 0.0000 1.9553 1.7468
N 1.9553 0.0000 1.7468
```

Output
Calculated total energy, Ry/atom: -0.357
Total magnetization, μB/cell: 0.0
Raw formation energy, eV/atom: 1.3400

---

(6)
## LaPm2Ni (PBE)

Data for crystalline LaPm2Ni at its relaxed geometry.

extended XYZ file:
```
8
Lattice="2.5193 -6.0491 0.0000 2.5193 6.0491 0.0000 0.0000 0.0000 7.4454" Properties=species:S:1:pos:R:3 pbc="T T T"
La 2.5193 5.6120 5.5840
La 2.5193 -5.6120 1.8613
Pm 2.5193 1.8467 3.9139
Pm 2.5193 1.8467 7.2541
Pm 2.5193 -1.8467 0.1912
Pm 2.5193 -1.8467 3.5315
Ni 2.5193 3.7432 1.8613
Ni 2.5193 -3.7432 5.5840
```

Output
Calculated total energy, Ry/atom: -0.383
Relative energy among the computed polymorphs, meV per atom: 24.6
Total magnetization, μB/cell: 0.0

---

(7)
## CaAlS2N (PBE)

Data for crystalline CaAlS2N at its relaxed geometry.

extended XYZ file:
```
5
Lattice="4.8394 0.0000 0.0000 0.0000 4.8394 0.0000 0.0000 0.0000 3.7704" Properties=species:S:1:pos:R:3 pbc="T T T"
Ca 0.0000 0.0000 0.0000
Al 2.4197 2.4197 1.8852
S 0.0000 2.4197 1.8852
S 2.4197 0.0000 1.8852
N 2.4197 2.4197 0.0000
```

Output
Calculated total energy, Ry/atom: -0.378
Relative energy among the computed polymorphs, meV per atom: 0.0
Total magnetization, μB/cell: 2.0
Raw formation energy, eV/atom: -0.6772

---

(8)
## AcCeYAl (PBE)

Data for crystalline AcCeYAl at its relaxed geometry.

extended XYZ file:
```
4
Lattice="0.0000 3.9060 3.9060 3.9060 0.0000 3.9060 3.9060 3.9060 0.0000" Properties=species:S:1:pos:R:3 pbc="T T T"
Ac 0.0000 0.0000 0.0000
Ce 5.8590 5.8590 5.8590
Y 1.9530 1.9530 1.9530
Al 3.9060 3.9060 3.9060
```

Output
Calculated total energy, Ry/atom: -0.365
Total magnetization, μB/cell: 1.0